# 1
LaIr2W after structural relaxation. Source: the Alexandria database, functional GGA-PBE.

Cell and atoms, written as CIF:
```
data_LaIr2W
_chemical_formula_sum 'La3 Ir6 W3'
_space_group_name_H-M_alt 'R -3 m'
_space_group_IT_number 166
_space_group_name_Hall '-R 3 2"'
_cell_length_a 4.3260
_cell_length_b 4.3260
_cell_length_c 16.0641
_cell_angle_alpha 90.00
_cell_angle_beta 90.00
_cell_angle_gamma 120.00
loop_
_atom_site_label
_atom_site_type_symbol
_atom_site_fract_x
_atom_site_fract_y
_atom_site_fract_z
La1 La 0.0000 0.0000 0.0000
Ir1 Ir 0.0000 0.0000 0.2088
W1 W 0.0000 0.0000 0.5000
```

Calculated values
Electronic total energy ... -9.16 eV per atom
Energy relative to the lowest polymorph listed for this composition ... 0.00 eV/f.u.
Spin magnetization ... 0.0000 μB/atom

***

# 2
LaIr2W after structural relaxation. Source: the Alexandria database, functional GGA-PBE.

Cell and atoms, written as CIF:
```
data_LaIr2W
_chemical_formula_sum 'La3 Ir6 W3'
_space_group_name_H-M_alt 'R 3 m'
_space_group_IT_number 160
_space_group_name_Hall 'R 3 -2"'
_cell_length_a 2.8879
_cell_length_b 2.8879
_cell_length_c 29.9000
_cell_angle_alpha 90.00
_cell_angle_beta 90.00
_cell_angle_gamma 120.00
loop_
_atom_site_label
_atom_site_type_symbol
_atom_site_fract_x
_atom_site_fract_y
_atom_site_fract_z
La1 La 0.0000 0.0000 0.0000
Ir1 Ir 0.0000 0.0000 0.2461
Ir2 Ir 0.0000 0.0000 0.5028
W1 W 0.0000 0.0000 0.7665
```

Calculated values
Electronic total energy ... -8.45 eV per atom
Energy relative to the lowest polymorph listed for this composition ... 2.84 eV/f.u.
Spin magnetization ... 0.0294 μB/atom

***

# 3
LaIr2W after structural relaxation. Source: the Alexandria database, functional GGA-PBE.

Cell and atoms, written as CIF:
```
data_LaIr2W
_chemical_formula_sum 'La2 Ir4 W2'
_space_group_name_H-M_alt 'I -4 m 2'
_space_group_IT_number 119
_space_group_name_Hall 'I -4 -2'
_cell_length_a 4.143
_cell_length_b 4.143
_cell_length_c 8.538
_cell_angle_alpha 90.00
_cell_angle_beta 90.00
_cell_angle_gamma 90.00
loop_
_atom_site_label
_atom_site_type_symbol
_atom_site_fract_x
_atom_site_fract_y
_atom_site_fract_z
La1 La 0.000 0.000 0.000
Ir1 Ir 0.000 0.000 0.500
Ir2 Ir 0.000 0.500 0.250
W1 W 0.000 0.500 0.750
```

Calculated values
Electronic total energy ... -8.58 eV per atom
Energy relative to the lowest polymorph listed for this composition ... 2.32 eV/f.u.
Spin magnetization ... 0.0000 μB/atom

***

# 4
La2IrW after structural relaxation. Source: the Alexandria database, functional GGA-PBE.

Cell and atoms, written as CIF:
```
data_La2IrW
_chemical_formula_sum 'La4 Ir2 W2'
_space_group_name_H-M_alt 'I -4 m 2'
_space_group_IT_number 119
_space_group_name_Hall 'I -4 -2'
_cell_length_a 4.218
_cell_length_b 4.218
_cell_length_c 10.292
_cell_angle_alpha 90.00
_cell_angle_beta 90.00
_cell_angle_gamma 90.00
loop_
_atom_site_label
_atom_site_type_symbol
_atom_site_fract_x
_atom_site_fract_y
_atom_site_fract_z
La1 La 0.000 0.000 0.000
La2 La 0.000 0.500 0.250
Ir1 Ir 0.000 0.000 0.500
W1 W 0.000 0.500 0.750
```

Calculated values
Electronic total energy ... -7.50 eV per atom
Energy relative to the lowest polymorph listed for this composition ... 1.88 eV/f.u.
Spin magnetization ... 0.0000 μB/atom

***

# 5
La2IrW after structural relaxation. Source: the Alexandria database, functional GGA-PBE.

Cell and atoms, written as CIF:
```
data_La2IrW
_chemical_formula_sum 'La2 Ir1 W1'
_space_group_name_H-M_alt 'P 4 m m'
_space_group_IT_number 99
_space_group_name_Hall 'P 4 -2'
_cell_length_a 3.194
_cell_length_b 3.194
_cell_length_c 9.575
_cell_angle_alpha 90.00
_cell_angle_beta 90.00
_cell_angle_gamma 90.00
loop_
_atom_site_label
_atom_site_type_symbol
_atom_site_fract_x
_atom_site_fract_y
_atom_site_fract_z
La1 La 0.000 0.000 0.000
La2 La 0.500 0.500 0.375
Ir1 Ir 0.500 0.500 0.758
W1 W 0.000 0.000 0.616
```

Calculated values
Electronic total energy ... -7.86 eV per atom
Energy relative to the lowest polymorph listed for this composition ... 0.43 eV/f.u.
Spin magnetization ... 0.0000 μB/atom

***

# 6
La2IrW after structural relaxation. Source: the Alexandria database, functional GGA-PBE.

Cell and atoms, written as CIF:
```
data_La2IrW
_chemical_formula_sum 'La4 Ir2 W2'
_space_group_name_H-M_alt 'I m m 2'
_space_group_IT_number 44
_space_group_name_Hall 'I 2 -2'
_cell_length_a 3.647
_cell_length_b 4.979
_cell_length_c 11.412
_cell_angle_alpha 90.00
_cell_angle_beta 90.00
_cell_angle_gamma 90.00
loop_
_atom_site_label
_atom_site_type_symbol
_atom_site_fract_x
_atom_site_fract_y
_atom_site_fract_z
La1 La 0.000 0.000 0.000
La2 La 0.000 0.500 0.207
Ir1 Ir 0.000 0.000 0.426
W1 W 0.000 0.500 0.785
```

Calculated values
Electronic total energy ... -7.82 eV per atom
Energy relative to the lowest polymorph listed for this composition ... 0.58 eV/f.u.
Spin magnetization ... 0.0000 μB/atom

***

# 7
La2IrW after structural relaxation. Source: the Alexandria database, functional GGA-PBE.

Cell and atoms, written as CIF:
```
data_La2IrW
_chemical_formula_sum 'La8 Ir4 W4'
_space_group_name_H-M_alt 'F m -3 m'
_space_group_IT_number 225
_space_group_name_Hall '-F 4 2 3'
_cell_length_a 7.223
_cell_length_b 7.223
_cell_length_c 7.223
_cell_angle_alpha 90.00
_cell_angle_beta 90.00
_cell_angle_gamma 90.00
loop_
_atom_site_label
_atom_site_type_symbol
_atom_site_fract_x
_atom_site_fract_y
_atom_site_fract_z
La1 La 0.250 0.250 0.250
Ir1 Ir 0.000 0.000 0.000
W1 W 0.000 0.000 0.500
```

Calculated values
Electronic total energy ... -7.54 eV per atom
Energy relative to the lowest polymorph listed for this composition ... 1.73 eV/f.u.
Spin magnetization ... 0.1087 μB/atom

***

# 8
La2IrW after structural relaxation. Source: the Alexandria database, functional GGA-PBE.

Cell and atoms, written as CIF:
```
data_La2IrW
_chemical_formula_sum 'La2 Ir1 W1'
_space_group_name_H-M_alt 'P 1 2/m 1'
_space_group_IT_number 10
_space_group_name_Hall '-P 2y'
_cell_length_a 3.129
_cell_length_b 4.846
_cell_length_c 5.759
_cell_angle_alpha 90.00
_cell_angle_beta 97.21
_cell_angle_gamma 90.00
loop_
_atom_site_label
_atom_site_type_symbol
_atom_site_fract_x
_atom_site_fract_y
_atom_site_fract_z
La1 La 0.248 0.000 0.253
Ir1 Ir 0.000 0.500 0.500
W1 W 0.500 0.500 0.000
```

Calculated values
Electronic total energy ... -7.47 eV per atom
Energy relative to the lowest polymorph listed for this composition ... 2.01 eV/f.u.
Spin magnetization ... 0.0000 μB/atom